[1]
# NdTmThIn

A relaxed structure of NdTmThIn (PBE, the Alexandria database).

```
NdTmThIn
1.0
0.0000 3.8867 3.8867
3.8867 0.0000 3.8867
3.8867 3.8867 0.0000
Nd Tm Th In
1 1 1 1
Direct
0.0000 0.0000 0.0000 Nd
0.5000 0.5000 0.5000 Tm
0.2500 0.2500 0.2500 Th
0.7500 0.7500 0.7500 In
```

M_tot = 0.001 μB per formula unit
ΔH_f (0 K) = -0.099 eV/f.u.
E = -4.87 eV/atom

=====

[2]
# Sc2Zn3Pt4

A relaxed structure of Sc2Zn3Pt4 (PBE, the Alexandria database).

```
Sc2Zn3Pt4
1.0
4.3231 -2.0647 0.0000
4.3231 2.0647 0.0000
-2.2768 0.0000 8.0231
Sc Zn Pt
2 3 4
Direct
0.1794 0.1794 0.2229 Sc
0.8206 0.8206 0.7771 Sc
0.1513 0.1513 0.5561 Zn
0.5000 0.5000 0.0000 Zn
0.8487 0.8487 0.4439 Zn
0.1601 0.1601 0.8868 Pt
0.4740 0.4740 0.6635 Pt
0.5260 0.5260 0.3365 Pt
0.8399 0.8399 0.1132 Pt
```

M_tot = 0.000 μB per formula unit
ΔH_f (0 K) = -7.826 eV/f.u.
E = -5.39 eV/atom